The following is a PBE calculation of crystalline Ba3BiP at its relaxed geometry, from Alexandria.

It has space group P2_1/c (No. 14), with a = 9.830 Å, b = 8.950 Å, c = 9.911 Å, α = 90.00°, β = 100.64° and γ = 90.00°. The inequivalent atoms are Ba at (0.051, 0.027, 0.204), Ba at (0.244, 0.604, 0.068), Ba at (0.380, 0.205, 0.981), Bi at (0.406, 0.568, 0.765) and P at (0.069, 0.220, 0.487).

As for the energy above the most stable polymorph in this dataset: 0 meV/atom. The value obtained for the formation enthalpy at 0 K is -90 kJ per mole of atoms. For the total magnetic moment, the calculation gives 0.000 μB/f.u. The calculation puts the raw total energy at -78.82 eV/cell.